! GGA+U DyMoO4, optimized geometry; values from VASP
&SYSTEM
  ibrav = 0, nat = 12, ntyp = 3
/
ATOMIC_SPECIES
Dy 162.50 Dy.upf
Mo 95.94 Mo.upf
O 16.00 O.upf
CELL_PARAMETERS angstrom
5.805 0.000 0.000
0.000 5.040 0.000
-2.064 0.000 5.479
ATOMIC_POSITIONS crystal
Dy 0.000 0.000 0.000
Dy 0.000 0.500 0.500
Mo 0.500 0.000 0.500
Mo 0.500 0.500 0.000
O 0.180 0.162 0.382
O 0.180 0.338 0.882
O 0.373 0.715 0.680
O 0.373 0.785 0.180
O 0.627 0.215 0.820
O 0.627 0.285 0.320
O 0.820 0.662 0.118
O 0.820 0.838 0.618
! M_tot = 1.000 μB per formula unit
! total DFT energy (no corrections) = -0.2835 Ha/atom